Record 1
First-principles (GGA-PBE) data for a relaxed TaMo2Ru crystal, as listed in Alexandria.

abc: 9.6438 9.6438 9.6438
angles: 16.72 16.72 16.72
Atoms (fractional coordinates):
Ta 0.0000 0.0000 0.0000
Mo 0.2442 0.2442 0.2442
Mo 0.7558 0.7558 0.7558
Ru 0.5000 0.5000 0.5000

The calculation puts the formation energy at 0.223 eV per atom. The value obtained for the distance to the lowest polymorph of the same formula is 346.7 meV per atom. The value obtained for the uncorrected energy is -10.4748 eV/atom.

---

Record 2
First-principles (GGA-PBE) data for a relaxed TaMoRu crystal, as listed in Alexandria.

abc: 4.2964 4.2964 4.2964
angles: 60.00 60.00 60.00
Atoms (fractional coordinates):
Ta 0.0000 0.0000 0.0000
Mo 0.5000 0.5000 0.5000
Ru 0.2500 0.2500 0.2500

The calculation puts the formation energy at 0.459 eV per atom. The value obtained for the distance to the lowest polymorph of the same formula is 656.7 meV per atom. The value obtained for the uncorrected energy is -10.1941 eV/atom.